LaFeHg2 | PBEsol | relaxed

Properties
Density of states at the Fermi level   1.0962 states/eV/atom
Symmetry   P4/mmm (123)
E   -3.76 eV per atom

extended XYZ file:
```
4
Lattice="4.314 0.000 0.000 0.000 4.314 0.000 0.000 0.000 4.783" Properties=species:S:1:pos:R:3 pbc="T T T"
La 0.000 0.000 0.000
Fe 2.157 2.157 0.000
Hg 0.000 2.157 2.391
Hg 2.157 0.000 2.391
```



Bi2PdPb | PBEsol | relaxed

Properties
Density of states at the Fermi level   0.4795 states/eV/atom
Symmetry   I-42d (122)
E   -4.48 eV per atom

extended XYZ file:
```
8
Lattice="-3.033 3.033 7.376 3.033 -3.033 7.376 3.033 3.033 -7.376" Properties=species:S:1:pos:R:3 pbc="T T T"
Bi 4.549 1.121 -1.844
Bi 1.121 1.516 1.844
Bi -1.516 1.912 5.532
Bi 1.912 1.516 9.220
Pd 0.000 0.000 0.000
Pd 0.000 3.033 3.688
Pb 3.033 0.000 3.688
Pb 0.000 0.000 7.376
```



KMgBe2 | PBEsol | relaxed

Properties
Density of states at the Fermi level   0.5807 states/eV/atom
Symmetry   P2/m (10)
E   -2.03 eV per atom

extended XYZ file:
```
4
Lattice="2.791 0.000 0.000 0.000 4.103 0.000 -0.033 0.000 7.296" Properties=species:S:1:pos:R:3 pbc="T T T"
K 0.000 0.000 0.000
Mg -0.017 0.000 3.648
Be 1.383 2.052 2.566
Be 1.375 2.052 4.729
```



Q: What is the E in the third record?
A: -2.03 eV per atom



Q: Look up the E of the second one.
A: -4.48 eV per atom



Q: Number 3 is which compound?
A: KMgBe2